A geometry-optimized AlTcW2 structure. Source: the Alexandria database, functional PBE-GGA.

spin magnetization = 0.0 μB per formula unit
total DFT energy (no corrections) = -73.9 eV/cell
ΔE_f = 769.8 meV/atom
crystal system = tetragonal

Lattice parameters (Å, degrees): 5.7811 5.7811 5.7811 101.84 101.84 126.14
Element x y z (fractional)
Al 0.0000 0.0000 0.0000
Al 0.7500 0.2500 0.5000
Tc 0.2500 0.7500 0.5000
Tc 0.5000 0.5000 0.0000
W 0.1601 0.1250 0.5351
W 0.3750 0.8399 0.9649
W 0.5899 0.6250 0.4649
W 0.8750 0.4101 0.0351

***

A geometry-optimized AlTcW2 structure. Source: the Alexandria database, functional PBE-GGA.

spin magnetization = 0.0 μB per formula unit
total DFT energy (no corrections) = -40.1 eV/cell
ΔE_f = -20.4 meV/atom
crystal system = monoclinic

Lattice parameters (Å, degrees): 2.7406 4.3690 5.2980 90.00 104.38 90.00
Element x y z (fractional)
Al 0.0000 0.0000 0.0000
Tc 0.5000 0.0000 0.5000
W 0.2731 0.5000 0.7523
W 0.7269 0.5000 0.2477

***

A geometry-optimized AlTc2W structure. Source: the Alexandria database, functional PBE-GGA.

spin magnetization = 0.0 μB per formula unit
total DFT energy (no corrections) = -69.6 eV/cell
ΔE_f = 654.1 meV/atom
crystal system = tetragonal

Lattice parameters (Å, degrees): 5.6171 5.6171 5.6171 103.76 103.76 121.63
Element x y z (fractional)
Al 0.0000 0.0000 0.0000
Al 0.7500 0.2500 0.5000
Tc 0.1377 0.1250 0.5127
Tc 0.3750 0.8623 0.9873
Tc 0.6123 0.6250 0.4873
Tc 0.8750 0.3877 0.0127
W 0.2500 0.7500 0.5000
W 0.5000 0.5000 0.0000

***

A geometry-optimized AlTc2W structure. Source: the Alexandria database, functional PBE-GGA.

spin magnetization = 0.0 μB per formula unit
total DFT energy (no corrections) = -37.8 eV/cell
ΔE_f = -102.7 meV/atom
crystal system = orthorhombic

Lattice parameters (Å, degrees): 5.0445 5.0445 5.0445 143.96 126.91 65.85
Element x y z (fractional)
Al 0.0000 0.0000 0.0000
Tc 0.2544 0.7544 0.5000
Tc 0.7456 0.2456 0.5000
W 0.5000 0.5000 0.0000

***

A geometry-optimized AlTcW2 structure. Source: the Alexandria database, functional PBE-GGA.

spin magnetization = 0.0 μB per formula unit
total DFT energy (no corrections) = -40.1 eV/cell
ΔE_f = -28.8 meV/atom
crystal system = monoclinic

Lattice parameters (Å, degrees): 2.7368 4.3715 5.2493 90.00 101.39 90.00
Element x y z (fractional)
Al 0.0000 0.0000 0.0000
Tc 0.7543 0.5000 0.2408
W 0.3230 0.5000 0.7564
W 0.5373 0.0000 0.4945

***

A geometry-optimized AlTc2W structure. Source: the Alexandria database, functional PBE-GGA.

spin magnetization = 0.0 μB per formula unit
total DFT energy (no corrections) = -38.4 eV/cell
ΔE_f = -234.3 meV/atom
crystal system = orthorhombic

Lattice parameters (Å, degrees): 5.1532 5.1532 5.1532 144.62 131.15 61.75
Element x y z (fractional)
Al 0.0000 0.0000 0.0000
Tc 0.2503 0.7503 0.5000
Tc 0.4988 0.4988 0.0000
W 0.7414 0.2414 0.5000

***

A geometry-optimized AlTcW2 structure. Source: the Alexandria database, functional PBE-GGA.

spin magnetization = 0.0 μB per formula unit
total DFT energy (no corrections) = -39.7 eV/cell
ΔE_f = 68.7 meV/atom
crystal system = orthorhombic

Lattice parameters (Å, degrees): 2.7360 2.7360 8.8158 90.00 90.00 110.23
Element x y z (fractional)
Al 0.0000 0.0000 0.0000
Tc 0.0000 0.0000 0.5000
W 0.5000 0.5000 0.2502
W 0.5000 0.5000 0.7498

***

A geometry-optimized AlTc2W structure. Source: the Alexandria database, functional PBE-GGA.

spin magnetization = 0.0 μB per formula unit
total DFT energy (no corrections) = -37.8 eV/cell
ΔE_f = -88.1 meV/atom
crystal system = monoclinic

Lattice parameters (Å, degrees): 2.7466 4.2732 5.2020 90.00 101.04 90.00
Element x y z (fractional)
Al 0.0000 0.0000 0.0000
Tc 0.2980 0.5000 0.7571
Tc 0.7020 0.5000 0.2429
W 0.5000 0.0000 0.5000

***

Copy entry 8 word for word.
A geometry-optimized AlTc2W structure. Source: the Alexandria database, functional PBE-GGA.

spin magnetization = 0.0 μB per formula unit
total DFT energy (no corrections) = -37.8 eV/cell
ΔE_f = -88.1 meV/atom
crystal system = monoclinic

Lattice parameters (Å, degrees): 2.7466 4.2732 5.2020 90.00 101.04 90.00
Element x y z (fractional)
Al 0.0000 0.0000 0.0000
Tc 0.2980 0.5000 0.7571
Tc 0.7020 0.5000 0.2429
W 0.5000 0.0000 0.5000

***

> Which formula does entry 8 have?

AlTc2W